# Sm2MnCrO6

A relaxed structure of Sm2MnCrO6 (PBE with a Hubbard U, Alexandria).

Geometry as extended XYZ:
```
10
Lattice="5.365 0.000 0.000 2.503 4.765 0.000 2.513 1.535 4.514" Properties=species:S:1:pos:R:3 pbc="T T T"
Sm 2.562 1.564 1.123
Sm 7.820 4.736 3.391
Mn 0.000 0.000 0.000
Cr 5.191 3.150 2.257
O 3.597 2.731 3.389
O 5.063 5.006 3.003
O 4.081 3.815 0.727
O 6.300 2.486 3.787
O 5.318 1.295 1.511
O 6.785 3.570 1.125
```

Output
final energy = -7.93 eV/atom
SG = P-1
spin magnetization = 5.0 μB per cell